Compound: Pm2NiSn3
Source: Alexandria
Functional: PBE-GGA
Structure: optimized geometry

Results
The value obtained for the energy above the most stable polymorph in this dataset is 0.00 kJ/mol of atoms. The formation energy comes out at -0.60 eV per atom. The value obtained for the total magnetic moment is 0.00 μB per formula unit. The final energy comes out at -5.15 eV/atom.

```
data_Pm2NiSn3
_cell_length_a 11.3142
_cell_length_b 4.6008
_cell_length_c 7.4494
_cell_angle_alpha 90.00
_cell_angle_beta 130.26
_cell_angle_gamma 90.00
_space_group_name_H-M_alt 'C 1 m 1'
_space_group_IT_number 8
loop_
_space_group_symop_operation_xyz
'x,y,z'
'x,-y,z'
'x+1/2,y+1/2,z'
'x+1/2,-y+1/2,z'
loop_
_atom_site_label
_atom_site_fract_x
_atom_site_fract_y
_atom_site_fract_z
Pm1 0.0000 0.0000 0.0000
Pm2 0.1251 0.0000 0.6001
Ni1 0.3790 0.0000 0.5452
Sn1 0.1642 0.5000 0.9225
Sn2 0.2525 0.5000 0.4263
Sn3 0.3929 0.0000 0.2037
```

Compound: Pm3NiSn6
Source: Alexandria
Functional: PBE-GGA
Structure: optimized geometry

Results
The formation energy comes out at -0.40 eV per atom. The value obtained for the total magnetic moment is 0.00 μB per formula unit. The final energy comes out at -4.80 eV/atom.

```
data_Pm3NiSn6
_cell_length_a 6.2274
_cell_length_b 8.7641
_cell_length_c 11.1603
_cell_angle_alpha 90.00
_cell_angle_beta 114.70
_cell_angle_gamma 90.00
_space_group_name_H-M_alt 'P 1 21/c 1'
_space_group_IT_number 14
loop_
_space_group_symop_operation_xyz
'x,y,z'
'-x,-y,-z'
'-x,y+1/2,-z+1/2'
'x,-y+1/2,z+1/2'
loop_
_atom_site_label
_atom_site_fract_x
_atom_site_fract_y
_atom_site_fract_z
Pm1 0.0000 0.0000 0.0000
Pm2 0.3915 0.0884 0.7528
Ni1 0.5000 0.0000 0.5000
Sn1 0.1155 0.0914 0.2995
Sn2 0.1492 0.6572 0.0115
Sn3 0.4529 0.2065 0.0370
```

Compound: Pm2NiSn3
Source: Alexandria
Functional: PBE-GGA
Structure: optimized geometry

Results
The value obtained for the energy above the most stable polymorph in this dataset is 3.09 kJ/mol of atoms. The formation energy comes out at -0.57 eV per atom. The value obtained for the total magnetic moment is 0.00 μB per formula unit. The final energy comes out at -5.12 eV/atom.

```
data_Pm2NiSn3
_cell_length_a 10.4070
_cell_length_b 7.1913
_cell_length_c 8.3239
_cell_angle_alpha 90.00
_cell_angle_beta 100.83
_cell_angle_gamma 90.00
_space_group_name_H-M_alt 'C 1 2/c 1'
_space_group_IT_number 15
loop_
_space_group_symop_operation_xyz
'x,y,z'
'-x,-y,-z'
'-x,y,-z+1/2'
'x,-y,z+1/2'
'x+1/2,y+1/2,z'
'-x+1/2,-y+1/2,-z'
'-x+1/2,y+1/2,-z+1/2'
'x+1/2,-y+1/2,z+1/2'
loop_
_atom_site_label
_atom_site_fract_x
_atom_site_fract_y
_atom_site_fract_z
Pm1 0.1576 0.1651 0.1488
Ni1 0.0000 0.4746 0.2500
Sn1 0.0000 0.1686 0.7500
Sn2 0.1365 0.3855 0.5187
```

Compound: Pm2NiSn6
Source: Alexandria
Functional: PBE-GGA
Structure: optimized geometry

Results
The value obtained for the energy above the most stable polymorph in this dataset is 0.00 kJ/mol of atoms. The formation energy comes out at -0.50 eV per atom. The value obtained for the total magnetic moment is 0.00 μB per formula unit. The final energy comes out at -4.87 eV/atom.

```
data_Pm2NiSn6
_cell_length_a 4.4565
_cell_length_b 4.4560
_cell_length_c 23.4673
_cell_angle_alpha 90.00
_cell_angle_beta 90.00
_cell_angle_gamma 90.00
_space_group_name_H-M_alt 'A m m 2'
_space_group_IT_number 38
loop_
_space_group_symop_operation_xyz
'x,y,z'
'-x,-y,z'
'-x,y,z'
'x,-y,z'
'x,y+1/2,z+1/2'
'-x,-y+1/2,z+1/2'
'-x,y+1/2,z+1/2'
'x,-y+1/2,z+1/2'
loop_
_atom_site_label
_atom_site_fract_x
_atom_site_fract_y
_atom_site_fract_z
Pm1 0.0000 0.0000 0.0000
Pm2 0.0000 0.0000 0.3398
Ni1 0.5000 0.0000 0.7818
Sn1 0.0000 0.0000 0.6038
Sn2 0.0000 0.0000 0.7275
Sn3 0.5000 0.0000 0.1036
Sn4 0.5000 0.0000 0.2277
Sn5 0.5000 0.0000 0.4680
Sn6 0.5000 0.0000 0.8872
```

Compound: Pm3Ni2Sn3
Source: Alexandria
Functional: PBE-GGA
Structure: optimized geometry

Results
The value obtained for the energy above the most stable polymorph in this dataset is 0.00 kJ/mol of atoms. The formation energy comes out at -0.67 eV per atom. The value obtained for the total magnetic moment is 0.00 μB per formula unit. The final energy comes out at -5.40 eV/atom.

```
data_Pm3Ni2Sn3
_cell_length_a 4.5115
_cell_length_b 11.0487
_cell_length_c 15.2248
_cell_angle_alpha 90.00
_cell_angle_beta 90.00
_cell_angle_gamma 90.00
_space_group_name_H-M_alt 'C m c m'
_space_group_IT_number 63
_space_group_name_Hall '-C 2c 2'
loop_
_atom_site_label
_atom_site_fract_x
_atom_site_fract_y
_atom_site_fract_z
Pm1 0.0000 0.0799 0.1100
Pm2 0.0000 0.3621 0.2500
Ni1 0.0000 0.2044 0.6045
Sn1 0.0000 0.3398 0.7500
Sn2 0.0000 0.3662 0.0369
```

Compound: Pm12NiSn6
Source: Alexandria
Functional: PBE-GGA
Structure: optimized geometry

Results
The formation energy comes out at -0.47 eV per atom. The value obtained for the total magnetic moment is 0.00 μB per formula unit. The final energy comes out at -5.04 eV/atom.

```
data_Pm12NiSn6
_cell_length_a 12.2405
_cell_length_b 12.2405
_cell_length_c 14.2929
_cell_angle_alpha 90.00
_cell_angle_beta 90.00
_cell_angle_gamma 120.00
_space_group_name_H-M_alt 'R -3'
_space_group_IT_number 148
_space_group_name_Hall '-R 3'
loop_
_atom_site_label
_atom_site_fract_x
_atom_site_fract_y
_atom_site_fract_z
Pm1 0.0316 0.1926 0.3904
Pm2 0.0323 0.8400 0.8845
Ni1 0.0000 0.0000 0.0000
Sn1 0.0031 0.3893 0.2536
```